Compound: CsMg2GaPb
Source: Alexandria
Functional: PBE
Structure: relaxed

Unit cell a=6.1053 b=6.1053 c=6.0299 alpha=90.00 beta=90.00 gamma=90.00
Fractional coordinates of all 5 atoms:
Cs1 0.0000 0.0000 0.0000
Mg1 0.0000 0.5000 0.5000
Mg2 0.5000 0.0000 0.5000
Ga1 0.5000 0.5000 0.0000
Pb1 0.5000 0.5000 0.5000

The formation energy comes out at 0.312 eV per atom. As for the volume: 224.8 Å³/cell. Its crystal system is tetragonal. Its symmetry is P4/mmm (123). The total magnetization is 0.0 μB/f.u.